First-principles (PBE) data for a geometry-optimized Cr2Rh structure, as listed in Alexandria.

Geometry as CIF:
```
data_Cr2Rh
_cell_length_a 4.0915
_cell_length_b 4.0915
_cell_length_c 2.5898
_cell_angle_alpha 90.00
_cell_angle_beta 90.00
_cell_angle_gamma 120.00
_symmetry_space_group_name_H-M 'P -3 m 1'
_symmetry_Int_Tables_number 164
_symmetry_space_group_name_Hall '-P 3 2"'
loop_
_atom_site_label
_atom_site_fract_x
_atom_site_fract_y
_atom_site_fract_z
Cr1 0.3333 0.6667 0.4914
Rh1 0.0000 0.0000 0.0000
```

- Magnetization: 0.0 μB/cell
- Calculated total energy: -26.4 eV/cell